Compound: TlMoRh2
Source: the Alexandria database
Functional: SCAN
Structure: PBEsol geometry

Cell lengths 3.773, 4.090, 4.090 Å; angles 90.00, 90.00, 90.00 degrees
Fractional positions:
Mo 0.500 0.000 0.000
Rh 0.000 0.000 0.500
Rh 0.000 0.500 0.000
Tl 0.500 0.500 0.500

* ΔE_f: 1.39 eV per formula unit
* total energy: -43.3502 eV/atom
* space group: P4/mmm, No. 123
* energy above the most stable polymorph in this dataset: 0.271 eV per atom
* total magnetic moment: 2.5 μB per cell